This record from the Alexandria database describes an optimized crystal structure of SrCoO3. The functional is PBE+U.

extended XYZ file:
```
20
Lattice="6.566 0.000 0.732 0.000 8.471 0.000 1.718 0.000 5.923" Properties=species:S:1:pos:R:3 pbc="T T T"
Sr 3.452 8.129 5.149
O 4.822 1.567 6.067
O 0.736 0.007 1.578
Co 1.442 1.135 2.869
Co 2.700 5.371 0.458
O 7.549 8.464 5.077
Co 6.842 7.335 3.785
O 3.407 4.242 1.750
O 7.246 2.668 3.472
Co 5.585 3.100 6.197
O 3.462 6.904 0.587
O 4.878 4.229 4.905
Sr 5.876 4.578 2.553
Sr 4.833 0.342 1.506
O 1.038 5.803 3.182
O 3.140 1.370 3.236
Sr 2.409 3.893 4.101
O 2.720 5.606 6.014
O 5.144 7.100 3.418
O 5.564 2.865 0.641
```

***

This record from the Alexandria database describes an optimized crystal structure of Sr2CoO. The functional is PBE+U.

extended XYZ file:
```
8
Lattice="-3.641 -5.854 -1.850 -1.765 -1.062 6.834 -6.445 -0.949 1.915" Properties=species:S:1:pos:R:3 pbc="T T T"
Co 0.000 0.000 0.000
Sr -3.769 -3.485 0.349
Sr -3.508 -2.177 4.347
Sr -7.025 -3.404 3.941
O -5.457 -2.734 5.621
O -2.703 -3.458 2.492
Co -6.394 -5.130 1.279
Sr -9.400 -6.664 5.163
```

***

This record from the Alexandria database describes an optimized crystal structure of SrCoO3. The functional is PBE+U.

extended XYZ file:
```
20
Lattice="18.760 0.000 1.223 0.000 5.036 0.000 -6.244 0.000 2.851" Properties=species:S:1:pos:R:3 pbc="T T T"
Co -0.551 3.776 0.382
Co 5.707 3.779 2.419
Co 13.067 1.261 3.693
Sr 14.283 3.811 1.930
O 6.545 0.182 3.260
O 0.287 2.337 1.223
O 8.313 1.146 0.776
O -2.055 3.665 1.261
O 11.430 0.345 3.606
O 7.344 2.863 2.505
O 12.229 2.700 2.851
Sr 1.780 3.744 2.744
O 4.203 3.890 3.299
Sr -1.766 1.225 2.145
O 14.571 1.372 2.813
Co 6.809 1.258 1.655
O 5.172 2.173 1.569
O 5.971 4.855 0.814
Sr 10.736 1.293 1.331
O 1.086 4.692 0.468
```

***

This record from the Alexandria database describes an optimized crystal structure of SrCoO3. The functional is PBE+U.

extended XYZ file:
```
5
Lattice="-0.721 -1.822 3.403 3.269 -1.824 -0.284 1.791 2.909 1.937" Properties=species:S:1:pos:R:3 pbc="T T T"
O 0.985 -0.816 1.268
Co 1.880 0.639 2.236
O 1.520 -0.273 3.938
O 3.515 -0.274 2.094
Sr 2.258 -2.639 2.827
```

***

This record from the Alexandria database describes an optimized crystal structure of Sr6Co4O13. The functional is PBE+U.

extended XYZ file:
```
23
Lattice="10.494 0.004 0.000 -9.054 5.306 0.000 0.000 0.000 5.477" Properties=species:S:1:pos:R:3 pbc="T T T"
Co -7.213 4.807 0.000
O 2.141 0.904 1.419
O -0.700 4.405 4.058
O 0.000 0.000 0.000
O 2.141 0.904 4.058
Co 2.821 2.085 2.738
Sr 4.280 1.689 0.000
O -3.168 3.710 2.738
Sr 0.000 0.000 2.738
O -5.307 4.290 0.000
Sr -2.840 3.620 0.000
Co -1.380 3.225 2.738
O 4.609 1.600 2.738
O -1.390 1.862 1.419
Sr -5.565 4.360 2.738
Co 8.653 0.503 0.000
Sr 0.720 2.655 0.000
O 2.831 3.448 1.419
O -1.390 1.862 4.058
Sr 7.005 0.950 2.738
O 2.831 3.448 4.058
O 6.747 1.020 0.000
O -0.700 4.405 1.419
```

***

This record from the Alexandria database describes an optimized crystal structure of SrCoO3. The functional is PBE+U.

extended XYZ file:
```
10
Lattice="-7.069 12.834 0.473 -5.741 3.622 -0.856 3.965 -4.680 3.030" Properties=species:S:1:pos:R:3 pbc="T T T"
O -3.074 3.931 1.472
O -5.771 7.845 1.175
O -4.988 4.811 0.338
Sr -6.859 6.168 -0.531
O -3.857 6.965 2.309
Co -9.577 11.826 0.004
Sr -1.986 5.608 3.178
O -9.554 13.412 0.794
Co 0.732 -0.050 2.643
O 0.710 -1.636 1.853
```

***

This record from the Alexandria database describes an optimized crystal structure of SrTaCoO6. The functional is PBE+U.

extended XYZ file:
```
9
Lattice="5.119 0.000 -0.023 2.560 4.487 -0.012 -0.023 0.000 5.413" Properties=species:S:1:pos:R:3 pbc="T T T"
Ta 2.548 1.483 2.695
O 6.601 2.806 3.747
Sr 5.119 0.006 -0.023
O 5.713 4.409 1.593
O 3.615 2.805 1.619
O 6.040 1.747 1.584
O 4.176 1.747 3.784
O 4.502 4.409 3.773
Co 5.108 3.022 2.683
```

***

This record from the Alexandria database describes an optimized crystal structure of SrTbCoO4. The functional is PBE+U.

extended XYZ file:
```
7
Lattice="-0.759 -3.573 -0.898 3.392 -1.036 1.254 -3.625 1.411 5.327" Properties=species:S:1:pos:R:3 pbc="T T T"
Co -0.022 -0.009 0.053
O -0.259 -2.914 3.933
O -0.551 -1.388 5.986
O -0.800 -0.310 1.907
O -2.627 -2.657 4.909
Sr 0.653 -2.561 1.761
Tb -1.679 -0.650 4.002
```

***

This record from the Alexandria database describes an optimized crystal structure of Sr2CoTcO6. The functional is PBE+U.

extended XYZ file:
```
20
Lattice="5.655 0.000 -0.022 0.000 5.616 0.000 0.017 0.000 7.937" Properties=species:S:1:pos:R:3 pbc="T T T"
O 1.608 4.130 3.735
Sr 2.854 2.911 5.953
O 4.316 4.383 4.180
O 4.445 4.294 7.692
O 3.135 0.035 2.038
O 1.357 1.234 3.735
Co 0.009 2.808 3.969
O 2.537 5.582 5.877
Sr 2.819 2.705 1.963
O 1.228 1.322 0.223
Sr 0.017 5.513 1.995
Co 2.828 0.000 -0.011
O 4.193 1.575 7.692
Tc 2.836 0.000 3.958
O 0.316 2.774 6.017
O 5.356 2.843 1.898
O 4.064 1.486 4.181
Sr 5.656 0.103 5.920
O 1.479 4.042 0.223
Tc 0.000 2.808 0.000
```

***

This record from the Alexandria database describes an optimized crystal structure of SrCoTcO6. The functional is PBE+U.

extended XYZ file:
```
9
Lattice="-1.885 -0.754 -4.680 1.054 -4.314 -2.510 -4.339 -2.292 2.116" Properties=species:S:1:pos:R:3 pbc="T T T"
Sr -6.224 -3.045 -2.564
O -3.777 -3.726 -2.367
Tc -2.446 -2.835 -1.339
O -2.699 -6.203 -2.840
Co -2.723 -4.524 -3.735
O -1.417 -5.470 -4.744
O -2.791 -3.111 -5.008
O -4.263 -5.002 -4.746
O -1.393 -3.634 -2.707
```

***

This record from the Alexandria database describes an optimized crystal structure of Sr2CoTcO. The functional is PBE+U.

extended XYZ file:
```
5
Lattice="-1.199 -5.136 -0.890 1.212 -0.905 3.586 -4.940 0.827 1.878" Properties=species:S:1:pos:R:3 pbc="T T T"
Co -2.463 -2.607 2.287
O 0.000 0.000 0.000
Sr -2.470 0.414 0.939
Sr -0.599 -2.568 -0.445
Tc 0.606 -0.452 1.793
```

***

This record from the Alexandria database describes an optimized crystal structure of SrCoTc2O8. The functional is PBE+U.

extended XYZ file:
```
12
Lattice="-5.092 -1.676 2.066 3.973 -3.917 -1.374 2.482 0.289 6.351" Properties=species:S:1:pos:R:3 pbc="T T T"
O 0.352 -2.140 7.119
Sr 0.000 0.000 0.000
O 2.198 -1.314 4.284
Tc 2.849 -2.949 4.629
Co 1.241 0.145 3.175
O -2.876 -1.923 3.462
O 4.238 -3.381 3.581
Tc -1.486 -2.355 2.415
O 1.578 -4.213 4.658
O -0.216 -1.090 2.385
O 1.010 -3.163 -0.076
O -0.836 -3.989 2.759
```

***

no.,final energy (eV per atom)
1,-5.89
2,-4.20
3,-5.98
4,-5.93
5,-6.04
6,-5.71
7,-7.36
8,-6.84
9,-6.86
10,-6.81
11,-5.10
12,-7.17